a.
First-principles (GGA-PBE) data for an optimized crystal structure of PaVGa, as listed in Alexandria.

POSCAR file:
```
PaVGa
1.0
4.556 0.000 0.000
-2.278 3.945 0.000
0.000 0.000 3.324
Pa V Ga
1 1 1
Cartesian
0.000 0.000 0.000
2.278 1.315 1.662
0.000 2.630 1.662
```

Values from the calculation:
* calculated volume: 59.7 Å³/cell
* SG: P-6m2 (187)

---

b.
First-principles (GGA-PBE) data for an optimized crystal structure of PaVGa, as listed in Alexandria.

POSCAR file:
```
PaVGa
1.0
4.268 0.000 0.000
0.000 5.059 0.000
0.000 0.000 10.408
Pa V Ga
4 4 4
Cartesian
0.000 0.000 2.070
0.000 0.000 8.339
2.134 2.529 3.135
2.134 2.529 7.274
0.000 2.529 1.175
0.000 2.529 9.233
2.134 0.000 4.029
2.134 0.000 6.379
0.000 1.258 5.204
0.000 3.801 5.204
2.134 1.272 0.000
2.134 3.787 0.000
```

Values from the calculation:
* calculated volume: 224.7 Å³/cell
* SG: Immm (71)

---

Each structure's energy above the most stable one, in meV/atom: a 10; b 0.

---

a.
First-principles (GGA-PBE) data for an optimized crystal structure of PaVGa2, as listed in Alexandria.

POSCAR file:
```
PaVGa2
1.0
4.311 0.000 0.000
-2.156 3.734 0.000
0.000 0.000 14.593
Pa V Ga
3 3 6
Cartesian
0.000 0.000 0.000
0.000 2.489 9.729
2.156 1.245 4.864
0.000 0.000 7.296
0.000 2.489 2.432
2.156 1.245 12.161
0.000 0.000 3.227
0.000 0.000 11.366
0.000 2.489 6.502
0.000 2.489 12.956
2.156 1.245 1.637
2.156 1.245 8.091
```

Values from the calculation:
* calculated volume: 234.9 Å³/cell
* SG: R-3m (166)

---

b.
First-principles (GGA-PBE) data for an optimized crystal structure of PaVGa2, as listed in Alexandria.

POSCAR file:
```
PaVGa2
1.0
3.925 0.000 0.000
0.000 3.925 0.000
0.000 0.000 4.707
Pa V Ga
1 1 2
Cartesian
0.000 0.000 0.000
1.962 1.962 0.000
0.000 1.962 2.353
1.962 0.000 2.353
```

Values from the calculation:
* calculated volume: 72.5 Å³/cell
* SG: P4/mmm (123)

---

c.
First-principles (GGA-PBE) data for an optimized crystal structure of PaVGa2, as listed in Alexandria.

POSCAR file:
```
PaVGa2
1.0
3.179 0.000 0.000
0.000 3.179 0.000
0.000 0.000 7.113
Pa V Ga
1 1 2
Cartesian
0.000 0.000 0.000
0.000 0.000 3.556
1.589 1.589 2.108
1.589 1.589 5.004
```

Values from the calculation:
* calculated volume: 71.9 Å³/cell
* SG: P4/mmm (123)

---

d.
First-principles (GGA-PBE) data for an optimized crystal structure of PaVGa2, as listed in Alexandria.

POSCAR file:
```
PaVGa2
1.0
4.558 0.000 0.000
0.000 6.535 0.000
-1.354 0.000 4.837
Pa V Ga
2 2 4
Cartesian
-0.049 1.634 0.692
3.253 4.901 4.145
-0.100 4.901 2.009
3.305 1.634 2.827
0.939 0.352 3.534
0.939 2.916 3.534
2.266 3.620 1.302
2.266 6.183 1.302
```

Values from the calculation:
* calculated volume: 144.1 Å³/cell
* SG: P2_1/m (11)

---

Each structure's energy above the most stable one, in meV/atom: a 252; b 217; c 165; d 0.

---

a.
First-principles (GGA-PBE) data for an optimized crystal structure of PaGaW, as listed in Alexandria.

POSCAR file:
```
PaGaW
1.0
4.475 0.000 0.000
-2.237 3.875 0.000
0.000 0.000 3.532
Pa Ga W
1 1 1
Cartesian
0.000 0.000 0.000
2.237 1.292 1.766
0.000 2.584 1.766
```

Values from the calculation:
* calculated volume: 61.2 Å³/cell
* SG: P-6m2 (187)

---

b.
First-principles (GGA-PBE) data for an optimized crystal structure of PaGaW, as listed in Alexandria.

POSCAR file:
```
PaGaW
1.0
3.291 0.000 0.000
0.000 3.291 0.000
0.000 0.000 10.930
Pa Ga W
2 2 2
Cartesian
0.000 0.000 0.000
1.646 1.646 5.465
0.000 0.000 3.197
1.646 1.646 8.661
0.000 0.000 7.338
1.646 1.646 1.873
```

Values from the calculation:
* calculated volume: 118.4 Å³/cell
* SG: I4mm (107)

---

Each structure's energy above the most stable one, in meV/atom: a 55; b 0.

---

a.
First-principles (GGA-PBE) data for an optimized crystal structure of Y2PaGa, as listed in Alexandria.

POSCAR file:
```
Y2PaGa
1.0
3.316 0.000 0.000
-1.658 2.871 0.000
0.000 0.000 33.599
Y Pa Ga
6 3 3
Cartesian
0.000 0.000 3.281
0.000 0.000 30.318
0.000 1.914 19.118
0.000 1.914 25.680
1.658 0.957 7.919
1.658 0.957 14.481
0.000 0.000 0.000
0.000 1.914 22.399
1.658 0.957 11.200
0.000 0.000 16.800
0.000 1.914 5.600
1.658 0.957 27.999
```

Values from the calculation:
* calculated volume: 319.9 Å³/cell
* SG: R-3m (166)

---

b.
First-principles (GGA-PBE) data for an optimized crystal structure of Y2PaGa, as listed in Alexandria.

POSCAR file:
```
Y2PaGa
1.0
3.419 0.000 0.000
0.000 3.419 0.000
0.000 0.000 8.806
Y Pa Ga
2 1 1
Cartesian
0.000 0.000 1.940
0.000 0.000 6.866
1.709 1.709 4.403
1.709 1.709 0.000
```

Values from the calculation:
* calculated volume: 102.9 Å³/cell
* SG: P4/mmm (123)

---

Each structure's energy above the most stable one, in meV/atom: a 267; b 0.

---

a.
First-principles (GGA-PBE) data for an optimized crystal structure of Pa2ZnGa, as listed in Alexandria.

POSCAR file:
```
Pa2ZnGa
1.0
7.068 0.000 0.000
0.000 7.068 0.000
0.000 0.000 7.068
Pa Zn Ga
8 4 4
Cartesian
1.767 1.767 1.767
1.767 1.767 5.301
1.767 5.301 1.767
1.767 5.301 5.301
5.301 1.767 1.767
5.301 1.767 5.301
5.301 5.301 1.767
5.301 5.301 5.301
0.000 0.000 0.000
0.000 3.534 3.534
3.534 0.000 3.534
3.534 3.534 0.000
0.000 0.000 3.534
0.000 3.534 0.000
3.534 0.000 0.000
3.534 3.534 3.534
```

Values from the calculation:
* calculated volume: 353.2 Å³/cell
* SG: Fm-3m (225)

---

b.
First-principles (GGA-PBE) data for an optimized crystal structure of Pa2ZnGa, as listed in Alexandria.

POSCAR file:
```
Pa2ZnGa
1.0
3.790 0.000 0.000
0.000 3.790 0.000
0.000 0.000 6.109
Pa Zn Ga
2 1 1
Cartesian
0.000 0.000 1.486
0.000 0.000 4.622
1.895 1.895 3.054
1.895 1.895 0.000
```

Values from the calculation:
* calculated volume: 87.7 Å³/cell
* SG: P4/mmm (123)

---

Each structure's energy above the most stable one, in meV/atom: a 41; b 0.

---

a.
First-principles (GGA-PBE) data for an optimized crystal structure of Pa3Zn4Ga2, as listed in Alexandria.

POSCAR file:
```
Pa3Zn4Ga2
1.0
5.100 -2.314 0.000
5.100 2.314 0.000
-4.334 0.000 7.432
Pa Zn Ga
3 4 2
Cartesian
0.000 0.000 0.000
1.940 0.000 2.478
3.927 0.000 4.954
-1.145 0.000 2.890
-1.276 0.000 7.026
7.144 0.000 0.407
7.013 0.000 4.542
0.843 0.000 5.372
5.024 0.000 2.060
```

Values from the calculation:
* calculated volume: 175.5 Å³/cell
* SG: C2/m (12)

---

b.
First-principles (GGA-PBE) data for an optimized crystal structure of Pa3Zn4Ga2, as listed in Alexandria.

POSCAR file:
```
Pa3Zn4Ga2
1.0
6.677 0.000 0.000
-3.338 5.782 0.000
0.000 0.000 4.567
Pa Zn Ga
3 4 2
Cartesian
-1.831 3.172 0.000
1.507 2.611 0.000
3.662 0.000 0.000
0.000 0.000 0.000
-0.776 1.344 2.284
1.551 0.000 2.284
2.563 4.439 2.284
0.000 3.855 2.284
3.338 1.927 2.284
```

Values from the calculation:
* calculated volume: 176.3 Å³/cell
* SG: P-62m (189)

---

Each structure's energy above the most stable one, in meV/atom: a 0; b 41.

---

a.
First-principles (GGA-PBE) data for an optimized crystal structure of ZrPa2Ga, as listed in Alexandria.

POSCAR file:
```
ZrPa2Ga
1.0
4.281 0.000 0.000
0.000 4.281 0.000
0.000 0.000 4.855
Zr Pa Ga
1 2 1
Cartesian
0.000 0.000 0.000
0.000 2.140 2.428
2.140 0.000 2.428
2.140 2.140 0.000
```

Values from the calculation:
* calculated volume: 89.0 Å³/cell
* SG: P4/mmm (123)

---

b.
First-principles (GGA-PBE) data for an optimized crystal structure of ZrPa2Ga, as listed in Alexandria.

POSCAR file:
```
ZrPa2Ga
1.0
3.859 0.000 0.000
0.000 3.859 0.000
0.000 0.000 6.378
Zr Pa Ga
1 2 1
Cartesian
0.000 0.000 0.000
1.930 1.930 1.802
1.930 1.930 4.575
0.000 0.000 3.189
```

Values from the calculation:
* calculated volume: 95.0 Å³/cell
* SG: P4/mmm (123)

---

Each structure's energy above the most stable one, in meV/atom: a 0; b 195.

---

a.
First-principles (GGA-PBE) data for an optimized crystal structure of ZrPaGa, as listed in Alexandria.

POSCAR file:
```
ZrPaGa
1.0
4.984 0.000 0.000
-2.492 4.316 0.000
0.000 0.000 3.115
Zr Pa Ga
1 1 1
Cartesian
0.000 0.000 0.000
0.000 2.877 1.558
2.492 1.439 0.000
```

Values from the calculation:
* calculated volume: 67.0 Å³/cell
* SG: P-6m2 (187)

---

b.
First-principles (GGA-PBE) data for an optimized crystal structure of ZrPaGa, as listed in Alexandria.

POSCAR file:
```
ZrPaGa
1.0
3.712 0.000 0.000
0.000 3.712 0.000
0.000 0.000 9.726
Zr Pa Ga
2 2 2
Cartesian
0.000 0.000 0.000
1.856 1.856 4.863
0.000 0.000 2.846
1.856 1.856 7.709
0.000 0.000 6.029
1.856 1.856 1.166
```

Values from the calculation:
* calculated volume: 134.0 Å³/cell
* SG: I4mm (107)

---

Each structure's energy above the most stable one, in meV/atom: a 37; b 0.